1.
Density functional theory data (PBE-GGA) for InAg3Sn3 after structural relaxation.

a = 7.699 Å, b = 7.699 Å, c = 7.699 Å
α = 90.00°, β = 90.00°, γ = 90.00°
Element x y z (fractional)
In: 0.000 0.000 0.000
In: 0.500 0.500 0.500
Ag: 0.000 0.250 0.500
Ag: 0.000 0.750 0.500
Ag: 0.250 0.500 0.000
Ag: 0.500 0.000 0.250
Ag: 0.500 0.000 0.750
Ag: 0.750 0.500 0.000
Sn: 0.000 0.500 0.250
Sn: 0.000 0.500 0.750
Sn: 0.250 0.000 0.500
Sn: 0.500 0.250 0.000
Sn: 0.500 0.750 0.000
Sn: 0.750 0.000 0.500

Values from the calculation:
symmetry	No. 223
formation energy from the elements	409.2	meV/atom
M_tot	0.0	μB/f.u.


2.
Density functional theory data (PBE-GGA) for InAg2Sn after structural relaxation.

a = 4.493 Å, b = 4.493 Å, c = 4.322 Å
α = 90.00°, β = 90.00°, γ = 90.00°
Element x y z (fractional)
In: 0.000 0.000 0.000
Ag: 0.000 0.500 0.500
Ag: 0.500 0.000 0.500
Sn: 0.500 0.500 0.000

Values from the calculation:
symmetry	No. 123
formation energy from the elements	53.1	meV/atom
ΔE to the lowest computed polymorph	42	meV per atom
M_tot	0.0	μB/f.u.


3.
Density functional theory data (PBE-GGA) for InAg4Sn after structural relaxation.

a = 7.497 Å, b = 7.497 Å, c = 7.159 Å
α = 113.50°, β = 113.50°, γ = 46.28°
Element x y z (fractional)
In: 0.074 0.074 0.237
In: 0.926 0.926 0.763
Ag: 0.120 0.619 0.059
Ag: 0.256 0.744 0.500
Ag: 0.298 0.298 0.324
Ag: 0.381 0.880 0.941
Ag: 0.619 0.120 0.059
Ag: 0.702 0.702 0.676
Ag: 0.744 0.256 0.500
Ag: 0.880 0.381 0.941
Sn: 0.242 0.242 0.681
Sn: 0.758 0.758 0.319

Values from the calculation:
symmetry	No. 12
formation energy from the elements	87.5	meV/atom
ΔE to the lowest computed polymorph	20	meV per atom
M_tot	0.0	μB/f.u.


4.
Density functional theory data (PBE-GGA) for InAg2Sn after structural relaxation.

a = 3.500 Å, b = 3.500 Å, c = 7.199 Å
α = 90.00°, β = 90.00°, γ = 90.00°
Element x y z (fractional)
In: 0.000 0.000 0.000
Ag: 0.500 0.500 0.244
Ag: 0.500 0.500 0.756
Sn: 0.000 0.000 0.500

Values from the calculation:
symmetry	No. 123
formation energy from the elements	56.4	meV/atom
ΔE to the lowest computed polymorph	45	meV per atom
M_tot	0.0	μB/f.u.


5.
Density functional theory data (PBE-GGA) for In6AgSn after structural relaxation.

a = 4.662 Å, b = 7.559 Å, c = 7.615 Å
α = 64.23°, β = 72.52°, γ = 72.83°
Element x y z (fractional)
In: 0.093 0.058 0.253
In: 0.265 0.209 0.778
In: 0.366 0.451 0.309
In: 0.634 0.549 0.691
In: 0.735 0.791 0.222
In: 0.907 0.942 0.747
Ag: 0.500 0.000 0.500
Sn: 0.000 0.500 0.000

Values from the calculation:
symmetry	No. 2
formation energy from the elements	72.5	meV/atom
M_tot	0.0	μB/f.u.


6.
Density functional theory data (PBE-GGA) for InAg2Sn after structural relaxation.

a = 7.927 Å, b = 7.927 Å, c = 6.081 Å
α = 90.00°, β = 90.00°, γ = 90.00°
Element x y z (fractional)
In: 0.000 0.000 0.000
In: 0.000 0.500 0.250
In: 0.500 0.000 0.750
In: 0.500 0.500 0.500
Ag: 0.249 0.250 0.625
Ag: 0.250 0.749 0.875
Ag: 0.250 0.751 0.375
Ag: 0.251 0.250 0.125
Ag: 0.749 0.750 0.125
Ag: 0.750 0.249 0.375
Ag: 0.750 0.251 0.875
Ag: 0.751 0.750 0.625
Sn: 0.000 0.000 0.500
Sn: 0.000 0.500 0.750
Sn: 0.500 0.000 0.250
Sn: 0.500 0.500 0.000

Values from the calculation:
symmetry	No. 122
formation energy from the elements	173.8	meV/atom
ΔE to the lowest computed polymorph	163	meV per atom
M_tot	0.0	μB/f.u.


7.
Density functional theory data (PBE-GGA) for InAg2Sn after structural relaxation.

a = 4.736 Å, b = 5.938 Å, c = 6.313 Å
α = 90.00°, β = 90.00°, γ = 90.00°
Element x y z (fractional)
In: 0.000 0.117 0.000
In: 0.000 0.883 0.500
Ag: 0.000 0.396 0.391
Ag: 0.000 0.604 0.891
Ag: 0.500 0.102 0.310
Ag: 0.500 0.898 0.810
Sn: 0.500 0.381 0.706
Sn: 0.500 0.619 0.206

Values from the calculation:
symmetry	No. 26
formation energy from the elements	27.1	meV/atom
ΔE to the lowest computed polymorph	16	meV per atom
M_tot	0.0	μB/f.u.


8.
Density functional theory data (PBE-GGA) for InAgSn2 after structural relaxation.

a = 7.369 Å, b = 7.369 Å, c = 7.369 Å
α = 90.00°, β = 90.00°, γ = 90.00°
Element x y z (fractional)
In: 0.000 0.000 0.000
In: 0.000 0.500 0.500
In: 0.500 0.000 0.500
In: 0.500 0.500 0.000
Ag: 0.000 0.000 0.500
Ag: 0.000 0.500 0.000
Ag: 0.500 0.000 0.000
Ag: 0.500 0.500 0.500
Sn: 0.250 0.250 0.250
Sn: 0.250 0.250 0.750
Sn: 0.250 0.750 0.250
Sn: 0.250 0.750 0.750
Sn: 0.750 0.250 0.250
Sn: 0.750 0.250 0.750
Sn: 0.750 0.750 0.250
Sn: 0.750 0.750 0.750

Values from the calculation:
symmetry	No. 225
formation energy from the elements	116.6	meV/atom
ΔE to the lowest computed polymorph	83	meV per atom
M_tot	0.0	μB/f.u.


9.
Density functional theory data (PBE-GGA) for InAg5Sn after structural relaxation.

a = 4.258 Å, b = 4.258 Å, c = 8.056 Å
α = 90.00°, β = 90.00°, γ = 90.00°
Element x y z (fractional)
In: 0.000 0.000 0.000
Ag: 0.000 0.500 0.259
Ag: 0.000 0.500 0.741
Ag: 0.500 0.000 0.259
Ag: 0.500 0.000 0.741
Ag: 0.500 0.500 0.000
Sn: 0.500 0.500 0.500

Values from the calculation:
symmetry	No. 123
formation energy from the elements	50.8	meV/atom
ΔE to the lowest computed polymorph	48	meV per atom
M_tot	0.0	μB/f.u.


10.
Density functional theory data (PBE-GGA) for In2Ag5Sn after structural relaxation.

a = 7.273 Å, b = 7.273 Å, c = 6.171 Å
α = 90.00°, β = 90.00°, γ = 90.00°
Element x y z (fractional)
In: 0.000 0.500 0.000
In: 0.000 0.500 0.500
In: 0.500 0.000 0.000
In: 0.500 0.000 0.500
Ag: 0.000 0.000 0.000
Ag: 0.250 0.250 0.250
Ag: 0.250 0.250 0.750
Ag: 0.250 0.750 0.250
Ag: 0.250 0.750 0.750
Ag: 0.500 0.500 0.500
Ag: 0.750 0.250 0.250
Ag: 0.750 0.250 0.750
Ag: 0.750 0.750 0.250
Ag: 0.750 0.750 0.750
Sn: 0.000 0.000 0.501
Sn: 0.500 0.500 0.001

Values from the calculation:
symmetry	No. 107
formation energy from the elements	29.3	meV/atom
M_tot	0.0	μB/f.u.


11.
Density functional theory data (PBE-GGA) for InAgSn2 after structural relaxation.

a = 3.308 Å, b = 3.308 Å, c = 33.035 Å
α = 90.00°, β = 90.00°, γ = 120.00°
Element x y z (fractional)
In: 0.000 0.000 0.000
In: 0.333 0.667 0.667
In: 0.667 0.333 0.333
Ag: 0.000 0.000 0.500
Ag: 0.333 0.667 0.167
Ag: 0.667 0.333 0.833
Sn: 0.000 0.000 0.415
Sn: 0.000 0.000 0.585
Sn: 0.333 0.667 0.082
Sn: 0.333 0.667 0.252
Sn: 0.667 0.333 0.748
Sn: 0.667 0.333 0.918

Values from the calculation:
symmetry	No. 166
formation energy from the elements	155.5	meV/atom
ΔE to the lowest computed polymorph	122	meV per atom
M_tot	0.0	μB/f.u.


12.
Density functional theory data (PBE-GGA) for InAg4Sn after structural relaxation.

a = 5.617 Å, b = 5.617 Å, c = 5.617 Å
α = 60.00°, β = 60.00°, γ = 60.00°
Element x y z (fractional)
In: 0.000 0.000 0.000
Ag: 0.124 0.625 0.625
Ag: 0.625 0.124 0.625
Ag: 0.625 0.625 0.124
Ag: 0.625 0.625 0.625
Sn: 0.250 0.250 0.250

Values from the calculation:
symmetry	No. 216
formation energy from the elements	67.1	meV/atom
ΔE to the lowest computed polymorph	0	meV per atom
M_tot	0.0	μB/f.u.


13.
Density functional theory data (PBE-GGA) for InAg3Sn2 after structural relaxation.

a = 6.820 Å, b = 6.820 Å, c = 5.909 Å
α = 90.00°, β = 90.00°, γ = 81.32°
Element x y z (fractional)
In: 0.220 0.780 0.750
In: 0.780 0.220 0.250
Ag: 0.163 0.163 0.000
Ag: 0.163 0.163 0.500
Ag: 0.500 0.500 0.000
Ag: 0.500 0.500 0.500
Ag: 0.837 0.837 0.000
Ag: 0.837 0.837 0.500
Sn: 0.116 0.548 0.250
Sn: 0.452 0.884 0.250
Sn: 0.548 0.116 0.750
Sn: 0.884 0.452 0.750

Values from the calculation:
symmetry	No. 63
formation energy from the elements	22.1	meV/atom
M_tot	0.0	μB/f.u.


14.
Density functional theory data (PBE-GGA) for In2Ag8Sn after structural relaxation.

a = 7.918 Å, b = 7.918 Å, c = 6.722 Å
α = 105.31°, β = 105.31°, γ = 31.67°
Element x y z (fractional)
In: 0.222 0.222 0.147
In: 0.778 0.778 0.853
Ag: 0.043 0.043 0.224
Ag: 0.139 0.139 0.686
Ag: 0.320 0.320 0.589
Ag: 0.410 0.410 0.046
Ag: 0.590 0.590 0.954
Ag: 0.680 0.680 0.411
Ag: 0.861 0.861 0.314
Ag: 0.957 0.957 0.776
Sn: 0.500 0.500 0.500

Values from the calculation:
symmetry	No. 12
formation energy from the elements	-5.2	meV/atom
M_tot	0.0	μB/f.u.


15.
Density functional theory data (PBE-GGA) for InAgSn2 after structural relaxation.

a = 4.649 Å, b = 4.649 Å, c = 17.297 Å
α = 90.00°, β = 90.00°, γ = 120.00°
Element x y z (fractional)
In: 0.000 0.000 0.000
In: 0.333 0.667 0.667
In: 0.667 0.333 0.333
Ag: 0.000 0.000 0.173
Ag: 0.333 0.667 0.839
Ag: 0.667 0.333 0.506
Sn: 0.000 0.000 0.574
Sn: 0.000 0.000 0.772
Sn: 0.333 0.667 0.240
Sn: 0.333 0.667 0.438
Sn: 0.667 0.333 0.105
Sn: 0.667 0.333 0.907

Values from the calculation:
symmetry	No. 160
formation energy from the elements	69.0	meV/atom
ΔE to the lowest computed polymorph	35	meV per atom
M_tot	0.0	μB/f.u.


16.
Density functional theory data (PBE-GGA) for In2Ag7Sn2 after structural relaxation.

a = 6.091 Å, b = 6.091 Å, c = 7.605 Å
α = 94.91°, β = 94.91°, γ = 122.24°
Element x y z (fractional)
In: 0.237 0.763 0.000
In: 0.763 0.237 0.000
Ag: 0.000 0.000 0.500
Ag: 0.042 0.592 0.337
Ag: 0.192 0.192 0.891
Ag: 0.408 0.958 0.663
Ag: 0.592 0.042 0.337
Ag: 0.808 0.808 0.109
Ag: 0.958 0.408 0.663
Sn: 0.398 0.398 0.288
Sn: 0.602 0.602 0.712

Values from the calculation:
symmetry	No. 12
formation energy from the elements	83.8	meV/atom
ΔE to the lowest computed polymorph	16	meV per atom
M_tot	0.0	μB/f.u.


17.
Density functional theory data (PBE-GGA) for InAgSn2 after structural relaxation.

a = 6.211 Å, b = 12.825 Å, c = 5.334 Å
α = 90.00°, β = 109.39°, γ = 90.00°
Element x y z (fractional)
In: 0.000 0.180 0.250
In: 0.000 0.820 0.750
In: 0.500 0.320 0.750
In: 0.500 0.680 0.250
Ag: 0.000 0.277 0.750
Ag: 0.000 0.723 0.250
Ag: 0.500 0.223 0.250
Ag: 0.500 0.777 0.750
Sn: 0.230 0.431 0.168
Sn: 0.230 0.569 0.668
Sn: 0.270 0.069 0.832
Sn: 0.270 0.931 0.332
Sn: 0.730 0.069 0.668
Sn: 0.730 0.931 0.168
Sn: 0.770 0.431 0.332
Sn: 0.770 0.569 0.832

Values from the calculation:
symmetry	No. 15
formation energy from the elements	61.5	meV/atom
ΔE to the lowest computed polymorph	28	meV per atom
M_tot	0.0	μB/f.u.


18.
Density functional theory data (PBE-GGA) for In4AgSn after structural relaxation.

a = 6.432 Å, b = 6.432 Å, c = 9.083 Å
α = 98.27°, β = 98.27°, γ = 121.00°
Element x y z (fractional)
In: 0.036 0.763 0.572
In: 0.237 0.964 0.928
In: 0.281 0.508 0.069
In: 0.492 0.719 0.431
In: 0.508 0.281 0.569
In: 0.719 0.492 0.931
In: 0.763 0.036 0.072
In: 0.964 0.237 0.428
Ag: 0.376 0.624 0.750
Ag: 0.624 0.376 0.250
Sn: 0.127 0.873 0.250
Sn: 0.873 0.127 0.750

Values from the calculation:
symmetry	No. 15
formation energy from the elements	48.1	meV/atom
M_tot	0.0	μB/f.u.


19.
Density functional theory data (PBE-GGA) for InAg15Sn4 after structural relaxation.

a = 4.249 Å, b = 4.249 Å, c = 21.509 Å
α = 90.00°, β = 90.00°, γ = 90.00°
Element x y z (fractional)
In: 0.000 0.000 0.000
Ag: 0.000 0.500 0.099
Ag: 0.000 0.500 0.299
Ag: 0.000 0.500 0.500
Ag: 0.000 0.500 0.701
Ag: 0.000 0.500 0.901
Ag: 0.500 0.000 0.099
Ag: 0.500 0.000 0.299
Ag: 0.500 0.000 0.500
Ag: 0.500 0.000 0.701
Ag: 0.500 0.000 0.901
Ag: 0.500 0.500 0.000
Ag: 0.500 0.500 0.198
Ag: 0.500 0.500 0.399
Ag: 0.500 0.500 0.601
Ag: 0.500 0.500 0.802
Sn: 0.000 0.000 0.200
Sn: 0.000 0.000 0.399
Sn: 0.000 0.000 0.601
Sn: 0.000 0.000 0.800

Values from the calculation:
symmetry	No. 123
formation energy from the elements	18.7	meV/atom
M_tot	0.0	μB/f.u.


20.
Density functional theory data (PBE-GGA) for InAg5Sn after structural relaxation.

a = 7.465 Å, b = 7.465 Å, c = 5.507 Å
α = 97.24°, β = 97.24°, γ = 66.34°
Element x y z (fractional)
In: 0.245 0.755 0.750
In: 0.755 0.245 0.250
Ag: 0.100 0.284 0.519
Ag: 0.109 0.891 0.250
Ag: 0.284 0.100 0.019
Ag: 0.337 0.458 0.343
Ag: 0.458 0.337 0.843
Ag: 0.542 0.663 0.157
Ag: 0.663 0.542 0.657
Ag: 0.716 0.900 0.981
Ag: 0.891 0.109 0.750
Ag: 0.900 0.716 0.481
Sn: 0.000 0.500 0.000
Sn: 0.500 0.000 0.500

Values from the calculation:
symmetry	No. 15
formation energy from the elements	3.2	meV/atom
ΔE to the lowest computed polymorph	0	meV per atom
M_tot	0.0	μB/f.u.


21.
Density functional theory data (PBE-GGA) for In3AgSn after structural relaxation.

a = 9.529 Å, b = 8.594 Å, c = 6.071 Å
α = 79.00°, β = 62.29°, γ = 38.71°
Element x y z (fractional)
In: 0.186 0.619 0.381
In: 0.208 0.208 0.792
In: 0.381 0.814 0.186
In: 0.619 0.186 0.814
In: 0.792 0.792 0.208
In: 0.814 0.381 0.619
Ag: 0.250 0.250 0.250
Ag: 0.750 0.750 0.750
Sn: 0.233 0.767 0.767
Sn: 0.767 0.233 0.233

Values from the calculation:
symmetry	No. 69
formation energy from the elements	67.4	meV/atom
ΔE to the lowest computed polymorph	0	meV per atom
M_tot	0.0	μB/f.u.


22.
Density functional theory data (PBE-GGA) for InAg2Sn after structural relaxation.

a = 3.586 Å, b = 4.575 Å, c = 5.689 Å
α = 90.00°, β = 108.40°, γ = 90.00°
Element x y z (fractional)
In: 0.000 0.000 0.000
Ag: 0.570 0.500 0.141
Ag: 0.729 0.000 0.465
Sn: 0.299 0.500 0.605

Values from the calculation:
symmetry	No. 6
formation energy from the elements	11.0	meV/atom
ΔE to the lowest computed polymorph	0	meV per atom
M_tot	0.0	μB/f.u.


23.
Density functional theory data (PBE-GGA) for In6Ag12Sn after structural relaxation.

a = 7.757 Å, b = 7.757 Å, c = 7.757 Å
α = 105.54°, β = 105.54°, γ = 105.54°
Element x y z (fractional)
In: 0.015 0.295 0.411
In: 0.295 0.411 0.015
In: 0.411 0.015 0.295
In: 0.589 0.985 0.705
In: 0.705 0.589 0.985
In: 0.985 0.705 0.589
Ag: 0.026 0.914 0.313
Ag: 0.086 0.687 0.974
Ag: 0.224 0.650 0.346
Ag: 0.313 0.026 0.914
Ag: 0.346 0.224 0.650
Ag: 0.350 0.654 0.776
Ag: 0.650 0.346 0.224
Ag: 0.654 0.776 0.350
Ag: 0.687 0.974 0.086
Ag: 0.776 0.350 0.654
Ag: 0.914 0.313 0.026
Ag: 0.974 0.086 0.687
Sn: 0.500 0.500 0.500

Values from the calculation:
symmetry	No. 148
formation energy from the elements	28.6	meV/atom
M_tot	0.0	μB/f.u.